# PBE+U NaVPO4F, relaxed
# Total magnetization in μB/atom: 0.250
# Space-group type: Pna2_1 (33)
# Calculated volume in Å³ per atom: 13.65
# DFT total energy in eV per atom: -6.8656
data_NaVPO4F
_space_group_name_H-M_alt 'P 1'
_space_group_IT_number 1
_space_group_name_Hall 'P 1'
_cell_length_a 6.3279
_cell_length_b 10.7621
_cell_length_c 12.8311
_cell_angle_alpha 90.00
_cell_angle_beta 90.00
_cell_angle_gamma 90.00
loop_
_atom_site_label
_atom_site_type_symbol
_atom_site_fract_x
_atom_site_fract_y
_atom_site_fract_z
O1 O 0.0139 0.3762 0.7435
O2 O 0.4861 0.3762 0.2435
O3 O 0.1725 0.5403 0.6196
O4 O 0.9793 0.1747 0.9697
O5 O 0.9861 0.8762 0.2565
O6 O 0.0659 0.4006 0.9923
O7 O 0.6725 0.0403 0.8804
O8 O 0.8275 0.0403 0.3804
O9 O 0.4341 0.4006 0.4923
O10 O 0.0207 0.6747 0.0303
O11 O 0.4516 0.1037 0.7279
O12 O 0.3073 0.2343 0.0766
O13 O 0.6920 0.7696 0.1164
O14 O 0.5139 0.8762 0.7565
O15 O 0.2111 0.9952 0.3872
O16 O 0.7111 0.4952 0.1128
O17 O 0.6927 0.7343 0.9234
O18 O 0.2889 0.9952 0.8872
O19 O 0.1920 0.2696 0.3836
O20 O 0.8080 0.7696 0.6164
O21 O 0.9516 0.6037 0.7721
O22 O 0.7889 0.4952 0.6128
O23 O 0.4793 0.6747 0.5303
O24 O 0.1927 0.2343 0.5766
O25 O 0.5659 0.9006 0.5077
O26 O 0.8073 0.7343 0.4234
O27 O 0.0484 0.1037 0.2279
O28 O 0.5207 0.1747 0.4697
O29 O 0.3275 0.5403 0.1196
O30 O 0.9341 0.9006 0.0077
O31 O 0.3080 0.2696 0.8836
O32 O 0.5484 0.6037 0.2721
P1 P 0.0206 0.0016 0.3135
P2 P 0.1664 0.2679 0.9824
P3 P 0.6664 0.7679 0.5176
P4 P 0.3336 0.2679 0.4824
P5 P 0.8336 0.7679 0.0176
P6 P 0.5206 0.5016 0.1865
P7 P 0.4794 0.0016 0.8135
P8 P 0.9794 0.5016 0.6865
V1 V 0.9815 0.0084 0.8842
V2 V 0.2361 0.2424 0.7307
V3 V 0.4815 0.5084 0.6158
V4 V 0.0185 0.5084 0.1158
V5 V 0.7361 0.7424 0.7693
V6 V 0.7639 0.7424 0.2693
V7 V 0.5185 0.0084 0.3842
V8 V 0.2639 0.2424 0.2307
Na1 Na 0.2639 0.5754 0.3990
Na2 Na 0.2093 0.7769 0.6504
Na3 Na 0.7907 0.2769 0.3496
Na4 Na 0.2361 0.5754 0.8990
Na5 Na 0.7093 0.2769 0.8496
Na6 Na 0.7361 0.0754 0.6010
Na7 Na 0.7639 0.0754 0.1010
Na8 Na 0.2907 0.7769 0.1504
F1 F 0.0178 0.3607 0.2136
F2 F 0.5079 0.1172 0.2516
F3 F 0.9822 0.8607 0.7864
F4 F 0.5178 0.8607 0.2864
F5 F 0.4822 0.3607 0.7136
F6 F 0.0079 0.6172 0.2484
F7 F 0.4921 0.6172 0.7484
F8 F 0.9921 0.1172 0.7516